Record 1
# LiCaPrAl | Alexandria via LeMat-Bulk | PBE-GGA | relaxed
data_LiCaPrAl
_cell_length_a 7.5768
_cell_length_b 7.5768
_cell_length_c 7.5768
_cell_angle_alpha 90.00
_cell_angle_beta 90.00
_cell_angle_gamma 90.00
_space_group_name_H-M_alt 'F -4 3 m'
_space_group_IT_number 216
_space_group_name_Hall 'F -4 2 3'
loop_
_atom_site_label
_atom_site_type_symbol
_atom_site_fract_x
_atom_site_fract_y
_atom_site_fract_z
_atom_site_occupancy
Li1 Li 0.0000 0.0000 0.0000 1
Ca1 Ca 0.2500 0.2500 0.2500 1
Pr1 Pr 0.2500 0.2500 0.7500 1
Al1 Al 0.0000 0.0000 0.5000 1
# - magnetic moment (μB/cell) = 0.00
# - E_form (eV/atom) = -0.17
# - V (Å³ per atom) = 27.185
# - energy (eV per cell) = -52.5

=====

Record 2
# LiCa2Al12Pt3 | Alexandria via LeMat-Bulk | PBE-GGA | relaxed
data_LiCa2Al12Pt3
_cell_length_a 8.9719
_cell_length_b 8.9719
_cell_length_c 17.9707
_cell_angle_alpha 90.00
_cell_angle_beta 90.00
_cell_angle_gamma 120.00
_space_group_name_H-M_alt 'R -3 m'
_space_group_IT_number 166
_space_group_name_Hall '-R 3 2"'
loop_
_atom_site_label
_atom_site_type_symbol
_atom_site_fract_x
_atom_site_fract_y
_atom_site_fract_z
_atom_site_occupancy
Li1 Li 0.0000 0.0000 0.0000 1
Ca1 Ca 0.0000 0.0000 0.4010 1
Al1 Al 0.0020 0.5010 0.6368 1
Al2 Al 0.0674 0.5337 0.7913 1
Pt1 Pt 0.0000 0.5000 0.5000 1
# - magnetic moment (μB/cell) = 0.00
# - E_form (eV/atom) = -0.16
# - V (Å³ per atom) = 23.199
# - energy (eV per cell) = -215.7

=====

Record 3
# LiCaAlPt2 | Alexandria via LeMat-Bulk | PBE-GGA | relaxed
data_LiCaAlPt2
_cell_length_a 4.0185
_cell_length_b 4.0185
_cell_length_c 11.5073
_cell_angle_alpha 90.00
_cell_angle_beta 90.00
_cell_angle_gamma 90.00
_space_group_name_H-M_alt 'I -4 m 2'
_space_group_IT_number 119
_space_group_name_Hall 'I -4 -2'
loop_
_atom_site_label
_atom_site_type_symbol
_atom_site_fract_x
_atom_site_fract_y
_atom_site_fract_z
_atom_site_occupancy
Li1 Li 0.0000 0.0000 0.0000 1
Ca1 Ca 0.0000 0.5000 0.2500 1
Al1 Al 0.0000 0.0000 0.5000 1
Pt1 Pt 0.0000 0.5000 0.6338 1
# - magnetic moment (μB/cell) = 0.00
# - E_form (eV/atom) = -0.87
# - V (Å³ per atom) = 18.583
# - energy (eV per cell) = -48.2